First-principles (PBE+U) data for NbCoN2O after structural relaxation, as listed in Alexandria via LeMat-Bulk.

The space group is P4/mmm (No. 123) and the conventional cell measures 4.0901, 4.0901 and 3.9340 Å, with angles of 90.00, 90.00 and 90.00 degrees. The asymmetric unit holds Nb at (0.0000, 0.0000, 0.0000), Co at (0.5000, 0.5000, 0.5000), N at (0.0000, 0.5000, 0.0000) and O at (0.0000, 0.0000, 0.5000).

For the total energy, the calculation gives -7.28 eV/atom.

First-principles (PBE+U) data for NbCoNO2 after structural relaxation, as listed in Alexandria via LeMat-Bulk.

The space group is P4/mmm (No. 123) and the conventional cell measures 3.9705, 3.9705 and 4.1101 Å, with angles of 90.00, 90.00 and 90.00 degrees. The asymmetric unit holds Nb at (0.0000, 0.0000, 0.0000), Co at (0.5000, 0.5000, 0.5000), N at (0.0000, 0.0000, 0.5000) and O at (0.0000, 0.5000, 0.0000).

For the total energy, the calculation gives -7.35 eV/atom.

First-principles (PBE+U) data for NbCoN2O after structural relaxation, as listed in Alexandria via LeMat-Bulk.

The space group is P4/mmm (No. 123) and the conventional cell measures 3.6510, 3.6510 and 3.5486 Å, with angles of 90.00, 90.00 and 90.00 degrees. The asymmetric unit holds Nb at (0.0000, 0.0000, 0.0000), Co at (0.5000, 0.5000, 0.5000), N at (0.0000, 0.5000, 0.5000) and O at (0.5000, 0.5000, 0.0000).

For the total energy, the calculation gives -7.10 eV/atom.

First-principles (PBE+U) data for NbCoNO2 after structural relaxation, as listed in Alexandria via LeMat-Bulk.

The space group is P4/mmm (No. 123) and the conventional cell measures 3.5860, 3.5860 and 3.7310 Å, with angles of 90.00, 90.00 and 90.00 degrees. The asymmetric unit holds Nb at (0.0000, 0.0000, 0.0000), Co at (0.5000, 0.5000, 0.5000), N at (0.5000, 0.5000, 0.0000) and O at (0.0000, 0.5000, 0.5000).

For the total energy, the calculation gives -6.96 eV/atom.